# 1
VASP calculation (PBE) on an optimized crystal structure of DyHoHgGe.

```
data_DyHoHgGe
_cell_length_a 7.2698
_cell_length_b 7.2698
_cell_length_c 7.2698
_cell_angle_alpha 90.00
_cell_angle_beta 90.00
_cell_angle_gamma 90.00
_symmetry_space_group_name_H-M 'F -4 3 m'
_symmetry_Int_Tables_number 216
_symmetry_space_group_name_Hall 'F -4 2 3'
loop_
_atom_site_label
_atom_site_fract_x
_atom_site_fract_y
_atom_site_fract_z
_atom_site_occupancy
Dy1 0.0000 0.0000 0.0000 1
Ho1 0.0000 0.0000 0.5000 1
Hg1 0.2500 0.2500 0.2500 1
Ge1 0.2500 0.2500 0.7500 1
```

Values from the calculation:
The formation energy is -0.548 eV/atom. The calculation puts the electronic total energy at -65.16 eV per cell.

# 2
VASP calculation (PBE) on an optimized crystal structure of MgTiMnS4.

```
data_MgTiMnS4
_cell_length_a 7.1841
_cell_length_b 7.2937
_cell_length_c 10.6969
_cell_angle_alpha 90.00
_cell_angle_beta 90.00
_cell_angle_gamma 90.00
_symmetry_space_group_name_H-M 'I m m a'
_symmetry_Int_Tables_number 74
_symmetry_space_group_name_Hall '-I 2b 2'
loop_
_atom_site_label
_atom_site_fract_x
_atom_site_fract_y
_atom_site_fract_z
_atom_site_occupancy
Mg1 0.0000 0.2500 0.1173 1
Ti1 0.2500 0.2500 0.7500 1
Mn1 0.0000 0.0000 0.5000 1
S1 0.0000 0.0185 0.7447 1
S2 0.2287 0.2500 0.5189 1
```

Values from the calculation:
The calculation puts the electronic total energy at -170.63 eV per cell. The calculation puts the formation energy from raw total energies at -1070 meV/atom.

# 3
VASP calculation (PBE) on an optimized crystal structure of PIrW2.

```
data_PIrW2
_cell_length_a 2.8953
_cell_length_b 2.8953
_cell_length_c 6.8643
_cell_angle_alpha 90.00
_cell_angle_beta 90.00
_cell_angle_gamma 90.00
_symmetry_space_group_name_H-M 'P 4/m m m'
_symmetry_Int_Tables_number 123
_symmetry_space_group_name_Hall '-P 4 2'
loop_
_atom_site_label
_atom_site_fract_x
_atom_site_fract_y
_atom_site_fract_z
_atom_site_occupancy
P1 0.0000 0.0000 0.0000 1
Ir1 0.0000 0.0000 0.5000 1
W1 0.5000 0.5000 0.2230 1
```

Values from the calculation:
The formation energy is -0.229 eV/atom. The calculation puts the electronic total energy at -41.09 eV per cell.

# 4
VASP calculation (PBE) on an optimized crystal structure of Sc12Ni6Hg.

```
data_Sc12Ni6Hg
_cell_length_a 9.0221
_cell_length_b 9.0221
_cell_length_c 9.0221
_cell_angle_alpha 90.00
_cell_angle_beta 90.00
_cell_angle_gamma 90.00
_symmetry_space_group_name_H-M 'I m -3'
_symmetry_Int_Tables_number 204
_symmetry_space_group_name_Hall '-I 2 2 3'
loop_
_atom_site_label
_atom_site_fract_x
_atom_site_fract_y
_atom_site_fract_z
_atom_site_occupancy
Sc1 0.0000 0.2958 0.1869 1
Ni1 0.0000 0.1313 0.5000 1
Hg1 0.0000 0.0000 0.0000 1
```

Values from the calculation:
The formation energy is -0.373 eV/atom. The calculation puts the electronic total energy at -236.13 eV per cell.

# 5
VASP calculation (PBE) on an optimized crystal structure of Na3La2UTe6.

```
data_Na3La2UTe6
_cell_length_a 20.0690
_cell_length_b 4.5793
_cell_length_c 9.2245
_cell_angle_alpha 90.00
_cell_angle_beta 103.58
_cell_angle_gamma 90.00
_symmetry_space_group_name_H-M 'C 1 2/m 1'
_symmetry_Int_Tables_number 12
loop_
_symmetry_equiv_pos_as_xyz
'x,y,z'
'-x,-y,-z'
'-x,y,-z'
'x,-y,z'
'x+1/2,y+1/2,z'
'-x+1/2,-y+1/2,-z'
'-x+1/2,y+1/2,-z'
'x+1/2,-y+1/2,z'
loop_
_atom_site_label
_atom_site_fract_x
_atom_site_fract_y
_atom_site_fract_z
_atom_site_occupancy
Na1 0.0000 0.0000 0.0000 1
Na2 0.1682 0.5000 0.3332 1
La1 0.1656 0.5000 0.8316 1
U1 0.0000 0.0000 0.5000 1
Te1 0.9999 0.5000 0.2630 1
Te2 0.1619 0.0000 0.5834 1
Te3 0.1681 0.0000 0.0801 1
```

Values from the calculation:
The calculation puts the electronic total energy at -116.31 eV per cell. The calculation puts the formation energy from raw total energies at -1184 meV/atom.

# 6
VASP calculation (PBE) on an optimized crystal structure of Cs6IBr2O.

```
data_Cs6IBr2O
_cell_length_a 8.6191
_cell_length_b 9.3697
_cell_length_c 14.9403
_cell_angle_alpha 90.00
_cell_angle_beta 119.34
_cell_angle_gamma 90.00
_symmetry_space_group_name_H-M 'P 1 21/c 1'
_symmetry_Int_Tables_number 14
loop_
_symmetry_equiv_pos_as_xyz
'x,y,z'
'-x,-y,-z'
'-x,y+1/2,-z+1/2'
'x,-y+1/2,z+1/2'
loop_
_atom_site_label
_atom_site_fract_x
_atom_site_fract_y
_atom_site_fract_z
_atom_site_occupancy
Cs1 0.0847 0.2241 0.4388 1
Cs2 0.1939 0.6514 0.4171 1
Cs3 0.3473 0.0372 0.2091 1
I1 0.5000 0.0000 0.5000 1
Br1 0.1797 0.1007 0.7203 1
O1 0.0000 0.0000 0.0000 1
```

Values from the calculation:
The calculation puts the electronic total energy at -55.26 eV per cell. The calculation puts the formation energy from raw total energies at -1265 meV/atom.